DFT (PBE) results for an optimized crystal structure of HoAsIr.

* calculated total energy: -20.9 eV per formula unit

abc: 4.285 4.285 3.714
angles: 90.00 90.00 120.00
Atoms (fractional coordinates):
1 Ho 0.000 0.000 0.000
2 As 0.333 0.667 0.500
3 Ir 0.667 0.333 0.500

=====

DFT (PBE) results for an optimized crystal structure of La4Nd3Tm.

* calculated total energy: -36.9 eV per formula unit

abc: 13.004 13.004 6.289
angles: 93.69 93.69 15.62
Atoms (fractional coordinates):
1 La 0.105 0.105 0.229
2 La 0.280 0.280 0.756
3 La 0.720 0.720 0.244
4 La 0.895 0.895 0.771
5 Nd 0.000 0.000 0.500
6 Nd 0.144 0.144 0.740
7 Nd 0.856 0.856 0.260
8 Tm 0.500 0.500 0.000

=====

DFT (PBE) results for an optimized crystal structure of Na2CaHfF8.

* formation energy from raw total energies: -3.493 eV per atom
* calculated total energy: -71.5 eV per formula unit

abc: 3.740 7.659 5.557
angles: 90.00 90.08 90.00
Atoms (fractional coordinates):
1 Na 0.000 0.235 0.000
2 Na 0.000 0.765 0.000
3 Ca 0.500 0.000 0.500
4 Hf 0.500 0.500 0.500
5 F 0.001 0.000 0.742
6 F 0.001 0.500 0.708
7 F 0.499 0.285 0.274
8 F 0.499 0.715 0.274
9 F 0.501 0.285 0.726
10 F 0.501 0.715 0.726
11 F 0.999 0.000 0.258
12 F 0.999 0.500 0.292

=====

DFT (PBE) results for an optimized crystal structure of Pm2Mg16Tl.

* calculated total energy: -38.6 eV per formula unit

abc: 7.805 7.805 7.805
angles: 82.36 82.36 82.36
Atoms (fractional coordinates):
1 Pm 0.000 0.000 0.000
2 Pm 0.346 0.346 0.346
3 Mg 0.025 0.025 0.500
4 Mg 0.025 0.500 0.025
5 Mg 0.174 0.670 0.670
6 Mg 0.323 0.323 0.829
7 Mg 0.323 0.829 0.323
8 Mg 0.363 0.671 0.980
9 Mg 0.363 0.980 0.671
10 Mg 0.500 0.025 0.025
11 Mg 0.580 0.580 0.580
12 Mg 0.670 0.174 0.670
13 Mg 0.670 0.670 0.174
14 Mg 0.671 0.363 0.980
15 Mg 0.671 0.980 0.363
16 Mg 0.829 0.323 0.323
17 Mg 0.980 0.363 0.671
18 Mg 0.980 0.671 0.363
19 Tl 0.776 0.776 0.776

=====

DFT (PBE) results for an optimized crystal structure of Pr2Sm7Tm.

* calculated total energy: -46.9 eV per formula unit

abc: 6.291 7.258 8.118
angles: 77.11 75.04 73.34
Atoms (fractional coordinates):
1 Pr 0.201 0.300 0.102
2 Pr 0.799 0.700 0.898
3 Sm 0.000 0.000 0.500
4 Sm 0.200 0.799 0.101
5 Sm 0.397 0.102 0.698
6 Sm 0.400 0.600 0.698
7 Sm 0.600 0.400 0.302
8 Sm 0.603 0.898 0.302
9 Sm 0.800 0.201 0.899
10 Tm 0.000 0.500 0.500

=====

DFT (PBE) results for an optimized crystal structure of Li2BrO.

* formation energy from raw total energies: -1.223 eV per atom
* calculated total energy: -15.4 eV per formula unit

abc: 4.016 4.016 3.901
angles: 90.00 90.00 90.00
Atoms (fractional coordinates):
1 Li 0.000 0.500 0.000
2 Li 0.500 0.000 0.000
3 Br 0.000 0.000 0.500
4 O 0.500 0.500 0.000

=====

DFT (PBE) results for an optimized crystal structure of Zr2BeCu6Pd.

* calculated total energy: -51.7 eV per formula unit

abc: 4.731 5.003 6.205
angles: 79.88 83.31 84.22
Atoms (fractional coordinates):
1 Zr 0.008 0.452 0.244
2 Zr 0.992 0.548 0.756
3 Be 0.000 0.000 0.000
4 Cu 0.172 0.915 0.344
5 Cu 0.334 0.001 0.685
6 Cu 0.493 0.263 0.963
7 Cu 0.507 0.737 0.037
8 Cu 0.666 0.999 0.315
9 Cu 0.828 0.085 0.656
10 Pd 0.500 0.500 0.500

=====

DFT (PBE) results for an optimized crystal structure of YUAl.

* calculated total energy: -21.8 eV per formula unit

abc: 8.142 8.142 5.098
angles: 95.50 95.50 25.49
Atoms (fractional coordinates):
1 Y 0.079 0.079 0.287
2 Y 0.921 0.921 0.713
3 U 0.242 0.242 0.822
4 U 0.758 0.758 0.178
5 Al 0.414 0.414 0.203
6 Al 0.586 0.586 0.797

=====

DFT (PBE) results for an optimized crystal structure of AcTb4Cu5.

* calculated total energy: -45.1 eV per formula unit

abc: 3.533 3.533 17.851
angles: 90.00 90.00 90.00
Atoms (fractional coordinates):
1 Ac 0.000 0.000 0.000
2 Tb 0.000 0.000 0.209
3 Tb 0.000 0.000 0.403
4 Tb 0.000 0.000 0.597
5 Tb 0.000 0.000 0.791
6 Cu 0.500 0.500 0.119
7 Cu 0.500 0.500 0.305
8 Cu 0.500 0.500 0.500
9 Cu 0.500 0.500 0.695
10 Cu 0.500 0.500 0.881

=====

DFT (PBE) results for an optimized crystal structure of Sr3Li3La5O12.

* formation energy from raw total energies: -2.911 eV per atom
* calculated total energy: -161.9 eV per formula unit

abc: 6.942 3.589 13.621
angles: 90.00 90.34 90.00
Atoms (fractional coordinates):
1 Sr 0.000 0.000 0.000
2 Sr 0.162 0.500 0.548
3 Sr 0.481 0.000 0.046
4 Li 0.450 0.000 0.633
5 Li 0.702 0.500 0.902
6 Li 0.956 0.000 0.399
7 La 0.315 0.000 0.295
8 La 0.317 0.500 0.808
9 La 0.657 0.500 0.480
10 La 0.824 0.500 0.223
11 La 0.829 0.000 0.727
12 O 0.035 0.000 0.183
13 O 0.082 0.500 0.368
14 O 0.202 0.000 0.699
15 O 0.265 0.500 0.974
16 O 0.403 0.000 0.490
17 O 0.455 0.500 0.208
18 O 0.567 0.000 0.856
19 O 0.586 0.500 0.658
20 O 0.702 0.000 0.343
21 O 0.755 0.500 0.043
22 O 0.881 0.000 0.542
23 O 0.940 0.500 0.826

=====

DFT (PBE) results for an optimized crystal structure of Dy5Cd3.

* calculated total energy: -27.5 eV per formula unit

abc: 3.662 3.662 16.556
angles: 90.00 90.00 90.00
Atoms (fractional coordinates):
1 Dy 0.000 0.000 0.000
2 Dy 0.000 0.000 0.235
3 Dy 0.000 0.000 0.765
4 Dy 0.500 0.500 0.381
5 Dy 0.500 0.500 0.619
6 Cd 0.000 0.000 0.500
7 Cd 0.500 0.500 0.116
8 Cd 0.500 0.500 0.884

=====

DFT (PBE) results for an optimized crystal structure of Sr2CdI.

* formation energy from raw total energies: -0.707 eV per atom
* calculated total energy: -8.7 eV per formula unit

abc: 9.570 9.570 9.570
angles: 27.12 27.12 27.12
Atoms (fractional coordinates):
1 Sr 0.000 0.000 0.000
2 Sr 0.182 0.182 0.182
3 Cd 0.591 0.591 0.591
4 I 0.422 0.422 0.422

=====

DFT (PBE) results for an optimized crystal structure of Sm3ThOs.

* calculated total energy: -33.3 eV per formula unit

abc: 7.417 7.417 8.204
angles: 123.09 123.09 73.90
Atoms (fractional coordinates):
1 Sm 0.048 0.048 0.339
2 Sm 0.057 0.450 0.211
3 Sm 0.450 0.057 0.211
4 Sm 0.550 0.943 0.789
5 Sm 0.943 0.550 0.789
6 Sm 0.952 0.952 0.661
7 Th 0.447 0.447 0.741
8 Th 0.553 0.553 0.259
9 Os 0.262 0.262 0.873
10 Os 0.738 0.738 0.127

=====

DFT (PBE) results for an optimized crystal structure of Sb2IrPd2.

* formation energy from raw total energies: -0.035 eV per atom
* calculated total energy: -27.7 eV per formula unit

abc: 7.024 7.024 3.859
angles: 90.00 90.00 90.00
Atoms (fractional coordinates):
1 Sb 0.156 0.344 0.000
2 Sb 0.344 0.844 0.000
3 Sb 0.656 0.156 0.000
4 Sb 0.844 0.656 0.000
5 Ir 0.000 0.000 0.000
6 Ir 0.500 0.500 0.000
7 Pd 0.143 0.643 0.500
8 Pd 0.357 0.143 0.500
9 Pd 0.643 0.857 0.500
10 Pd 0.857 0.357 0.500

=====

DFT (PBE) results for an optimized crystal structure of KAgIN2.

* formation energy from raw total energies: 1.171 eV per atom
* calculated total energy: -16.3 eV per formula unit

abc: 4.527 4.527 6.576
angles: 90.00 90.00 90.00
Atoms (fractional coordinates):
1 K 0.000 0.000 0.000
2 Ag 0.500 0.500 0.500
3 I 0.500 0.500 0.000
4 N 0.000 0.500 0.500
5 N 0.500 0.000 0.500

=====

DFT (PBE) results for an optimized crystal structure of CaBPd3.

* calculated total energy: -16.0 eV per formula unit

abc: 4.920 4.920 4.920
angles: 90.00 90.00 90.00
Atoms (fractional coordinates):
1 Ca 0.000 0.000 0.000
2 B 0.500 0.500 0.500
3 Pd 0.000 0.000 0.500
4 Pd 0.000 0.500 0.000
5 Pd 0.500 0.000 0.000

=====

DFT (PBE) results for an optimized crystal structure of InTcPt2.

* calculated total energy: -23.9 eV per formula unit

abc: 9.688 9.688 9.688
angles: 156.54 156.54 33.41
Atoms (fractional coordinates):
1 In 0.000 0.000 0.000
2 In 0.750 0.250 0.500
3 Tc 0.250 0.750 0.500
4 Tc 0.500 0.500 0.000
5 Pt 0.136 0.625 0.011
6 Pt 0.375 0.386 0.511
7 Pt 0.614 0.125 0.989
8 Pt 0.875 0.864 0.489

=====

In states/eV per atom, the DOS at the Fermi energy values for the records above are, in order, 0.654 1.575 0.000 0.349 1.505 0.173 0.584 1.448 0.553 0.000 1.412 0.754 1.235 0.504 0.123 0.736 1.144.
In μB per cell, the M_tot values for the records above are, in order, 0.0 0.0 0.0 0.0 0.0 1.0 0.0 2.9 0.0 0.0 1.5 0.4 0.0 0.0 4.3 0.0 0.0.